# 1
Computed, not measured: a PBEsol-optimized structure of SrLiTl2 at the SCAN level of DFT.

Summary:
* calculated formation energy: -0.439 eV/atom
* calculated total energy: -42.784 eV/atom
* mass density: 7.4 g cm⁻³

a = 4.780 Å, b = 4.780 Å, c = 6.328 Å
α = 67.81°, β = 67.81°, γ = 60.00°
Fractional positions:
1 Sr 0.758 0.758 0.727
2 Tl 0.972 0.972 0.084
3 Li 0.564 0.564 0.309
4 Tl 0.219 0.219 0.342

# 2
Computed, not measured: a PBEsol-optimized structure of Sr2LiTl2 at the SCAN level of DFT.

Summary:
* calculated formation energy: -0.453 eV/atom
* calculated total energy: -38.784 eV/atom
* mass density: 5.9 g cm⁻³

a = 4.409 Å, b = 8.657 Å, c = 8.657 Å
α = 90.00°, β = 90.00°, γ = 90.00°
Fractional positions:
1 Tl 0.000 0.365 0.865
2 Tl 0.000 0.865 0.635
3 Li 0.000 0.500 0.500
4 Sr 0.500 0.836 0.336
5 Tl 0.000 0.635 0.135
6 Sr 0.500 0.664 0.836
7 Li 0.000 0.000 0.000
8 Sr 0.500 0.336 0.164
9 Tl 0.000 0.135 0.365
10 Sr 0.500 0.164 0.664

# 3
Computed, not measured: a PBEsol-optimized structure of SrLi4Tl at the SCAN level of DFT.

Summary:
* calculated formation energy: -0.204 eV/atom
* calculated total energy: -17.569 eV/atom
* mass density: 4.0 g cm⁻³

a = 5.714 Å, b = 5.714 Å, c = 5.714 Å
α = 60.00°, β = 60.00°, γ = 60.00°
Fractional positions:
1 Li 0.372 0.883 0.372
2 Li 0.372 0.372 0.883
3 Tl 0.000 0.000 0.000
4 Li 0.372 0.372 0.372
5 Li 0.883 0.372 0.372
6 Sr 0.750 0.750 0.750

The highest calculated total energy belongs to which entry?
SrLi4Tl